# 1
Here is crystalline KHg4P at its relaxed geometry from Alexandria via LeMat-Bulk. Energies are from GGA-PBE.

Values from the calculation:
Crystal system: cubic
Electronic total energy, eV per atom: -1.089
Energy of formation from the pure elements, meV per atom: 197

a b c (Å): 6.1655 6.1655 6.1655
angles (deg): 60.00 60.00 60.00
Last column: magnetic moment on the atom in μB.
Fractional positions:
K 0.7500 0.7500 0.7500  0.00
Hg 0.8771 0.3743 0.3743  0.04
Hg 0.3743 0.3743 0.8771  0.04
Hg 0.3743 0.8771 0.3743  0.04
Hg 0.3743 0.3743 0.3743  0.04
P 0.0000 0.0000 0.0000  0.38

=====

# 2
Here is crystalline KHgP2 at its relaxed geometry from Alexandria via LeMat-Bulk. Energies are from GGA-PBE.

Values from the calculation:
Crystal system: tetragonal
Electronic total energy, eV per atom: -2.530
Energy of formation from the pure elements, meV per atom: 525

a b c (Å): 3.2129 3.2129 8.7297
angles (deg): 90.00 90.00 90.00
Fractional positions:
Hg 0.5000 0.5000 0.2500
K 0.5000 0.5000 0.7500
P 0.0000 0.0000 0.0332
P 0.0000 0.0000 0.4668

=====

# 3
Here is crystalline KHgP2 at its relaxed geometry from Alexandria via LeMat-Bulk. Energies are from GGA-PBE.

Values from the calculation:
Crystal system: monoclinic
Electronic total energy, eV per atom: -3.218
Energy of formation from the pure elements, meV per atom: -163

a b c (Å): 3.4006 5.3869 6.4964
angles (deg): 65.44 90.00 90.00
Fractional positions:
Hg 0.0000 0.4692 0.4363
K 0.5000 0.7771 0.8212
P 0.0000 0.1854 0.0045
P 0.5000 0.0683 0.2381

=====

# 4
Here is crystalline KHgP2 at its relaxed geometry from Alexandria via LeMat-Bulk. Energies are from GGA-PBE.

Values from the calculation:
Crystal system: orthorhombic
Electronic total energy, eV per atom: -2.987
Energy of formation from the pure elements, meV per atom: 68

a b c (Å): 5.3892 5.3892 5.3892
angles (deg): 124.55 106.39 98.67
Fractional positions:
K 0.0000 0.5000 0.5000
Hg 0.5000 0.0000 0.5000
P 0.6517 0.6517 0.0000
P 0.3483 0.3483 0.0000

=====

# 5
Here is crystalline K2Hg2P at its relaxed geometry from Alexandria via LeMat-Bulk. Energies are from GGA-PBE.

Values from the calculation:
Crystal system: tetragonal
E above lowest polymorph, eV/atom: 0.023
Electronic total energy, eV per atom: -1.725
Energy of formation from the pure elements, meV per atom: -83

a b c (Å): 7.5561 7.5561 5.3481
angles (deg): 90.00 90.00 90.00
Fractional positions:
P 0.0000 0.0000 0.0000
P 0.5000 0.5000 0.0000
K 0.1806 0.6806 0.5000
K 0.6806 0.8194 0.5000
K 0.8194 0.3194 0.5000
K 0.3194 0.1806 0.5000
Hg 0.3610 0.8610 0.0000
Hg 0.8610 0.6390 0.0000
Hg 0.6390 0.1390 0.0000
Hg 0.1390 0.3610 0.0000

=====

# 6
Here is crystalline K2Hg2P at its relaxed geometry from Alexandria via LeMat-Bulk. Energies are from GGA-PBE.

Values from the calculation:
Crystal system: tetragonal
E above lowest polymorph, eV/atom: 0.000
Electronic total energy, eV per atom: -1.748
Energy of formation from the pure elements, meV per atom: -106

a b c (Å): 6.2381 6.2381 6.2381
angles (deg): 115.08 115.08 98.75
Fractional positions:
K 0.2500 0.7500 0.5000
K 0.7500 0.2500 0.5000
Hg 0.3199 0.3199 0.0000
Hg 0.6801 0.6801 0.0000
P 0.0000 0.0000 0.0000

=====

# 7
Here is crystalline K2HgP at its relaxed geometry from Alexandria via LeMat-Bulk. Energies are from GGA-PBE.

Values from the calculation:
Crystal system: monoclinic
E above lowest polymorph, eV/atom: 0.119
Electronic total energy, eV per atom: -2.047
Energy of formation from the pure elements, meV per atom: -70

a b c (Å): 5.3570 3.7037 6.0623
angles (deg): 89.57 90.00 90.00
Fractional positions:
Hg 0.5000 0.6242 0.7755
K 0.0000 0.1212 0.9363
K 0.5000 0.1288 0.3195
P 0.0000 0.6259 0.4686

=====

# 8
Here is crystalline K2HgPPt at its relaxed geometry from Alexandria via LeMat-Bulk. Energies are from GGA-PBE.

Values from the calculation:
Crystal system: tetragonal
Electronic total energy, eV per atom: -3.152
Energy of formation from the pure elements, meV per atom: -363

a b c (Å): 6.3617 6.3617 4.3968
angles (deg): 90.00 90.00 90.00
Fractional positions:
P 0.0000 0.0000 0.5000
K 0.0000 0.5000 0.0000
K 0.5000 0.0000 0.0000
Hg 0.5000 0.5000 0.5000
Pt 0.0000 0.0000 0.0000

=====

# 9
Here is crystalline KRb2HgP at its relaxed geometry from Alexandria via LeMat-Bulk. Energies are from GGA-PBE.

Values from the calculation:
Crystal system: tetragonal
Electronic total energy, eV per atom: -1.841
Energy of formation from the pure elements, meV per atom: -92

a b c (Å): 6.6456 6.6456 6.3085
angles (deg): 90.00 90.00 90.00
Fractional positions:
P 0.0000 0.0000 0.0000
K 0.0000 0.0000 0.5000
Hg 0.5000 0.5000 0.5000
Rb 0.0000 0.5000 0.0000
Rb 0.5000 0.0000 0.0000

=====

# 10
Here is crystalline K2RbHgP at its relaxed geometry from Alexandria via LeMat-Bulk. Energies are from GGA-PBE.

Values from the calculation:
Crystal system: tetragonal
Electronic total energy, eV per atom: -1.889
Energy of formation from the pure elements, meV per atom: -114

a b c (Å): 6.3069 6.3069 6.6298
angles (deg): 90.00 90.00 90.00
Fractional positions:
P 0.0000 0.0000 0.0000
K 0.0000 0.5000 0.0000
K 0.5000 0.0000 0.0000
Hg 0.5000 0.5000 0.5000
Rb 0.0000 0.0000 0.5000

=====

# 11
Here is crystalline KReHgP2 at its relaxed geometry from Alexandria via LeMat-Bulk. Energies are from GGA-PBE.

Values from the calculation:
Crystal system: tetragonal
Electronic total energy, eV per atom: -4.915
Energy of formation from the pure elements, meV per atom: 18

a b c (Å): 4.6574 5.4672 4.6574
angles (deg): 90.00 90.00 90.00
Fractional positions:
Re 0.0000 0.0000 0.0000
K 0.5000 0.5000 0.5000
Hg 0.0000 0.5000 0.0000
P 0.0000 0.0000 0.5000
P 0.5000 0.0000 0.0000

=====

# 12
Here is crystalline KHgPRu2 at its relaxed geometry from Alexandria via LeMat-Bulk. Energies are from GGA-PBE.

Values from the calculation:
Crystal system: tetragonal
Electronic total energy, eV per atom: -3.155
Energy of formation from the pure elements, meV per atom: 1917

a b c (Å): 5.0970 5.6316 5.0970
angles (deg): 90.00 90.00 90.00
Last column: magnetic moment on the atom in μB.
Fractional positions:
Ru 0.0000 0.0000 0.5000  2.44
Ru 0.5000 0.0000 0.0000  1.75
K 0.0000 0.5000 0.0000  -0.01
Hg 0.0000 0.0000 0.0000  0.00
P 0.5000 0.5000 0.5000  -0.06

=====

In the order shown, the computed volume values come out to 27.6 22.5 27.1 28.4 30.5 36.4 30.1 35.6 55.7 52.7 23.7 29.3 Å³/atom.